Entry 1:
First-principles (PBE) data for an optimized crystal structure of DyScPb2, as listed in Alexandria.

Calculated values
- SG = Pna2_1 (33)
- crystal system = orthorhombic
- formation energy from the elements (eV/atom) = -0.275

a = 8.546 Å, b = 8.063 Å, c = 6.323 Å
α = 90.00°, β = 90.00°, γ = 90.00°
Element x y z (fractional)
Dy1 0.188 0.000 0.000
Dy2 0.312 0.500 0.500
Dy3 0.688 0.500 0.000
Dy4 0.812 0.000 0.500
Sc1 0.000 0.312 0.250
Sc2 0.000 0.688 0.750
Sc3 0.500 0.188 0.250
Sc4 0.500 0.812 0.750
Pb1 0.000 0.313 0.750
Pb2 0.000 0.687 0.250
Pb3 0.194 0.999 0.500
Pb4 0.306 0.499 0.000
Pb5 0.500 0.187 0.750
Pb6 0.500 0.813 0.250
Pb7 0.694 0.501 0.500
Pb8 0.806 0.001 0.000

***

Entry 2:
First-principles (PBE) data for an optimized crystal structure of Sm3Dy5, as listed in Alexandria.

Calculated values
- SG = Pmm2 (25)
- crystal system = orthorhombic
- formation energy from the elements (eV/atom) = 0.019

a = 3.643 Å, b = 5.704 Å, c = 12.610 Å
α = 90.00°, β = 90.00°, γ = 90.00°
Element x y z (fractional)
Sm1 0.000 0.000 0.000
Sm2 0.000 0.500 0.172
Sm3 0.500 0.000 0.254
Dy1 0.000 0.000 0.505
Dy2 0.000 0.500 0.669
Dy3 0.500 0.000 0.751
Dy4 0.500 0.500 0.423
Dy5 0.500 0.500 0.916

***

Entry 3:
First-principles (PBE) data for an optimized crystal structure of Be2GeBr, as listed in Alexandria.

Calculated values
- SG = I-42d (122)
- polymorph energy (0 for the lowest one) (kJ per mole of atoms) = 37.37
- E_form (uncorrected) (eV/atom) = 0.257
- crystal system = tetragonal

a = 5.399 Å, b = 5.399 Å, c = 10.437 Å
α = 90.00°, β = 90.00°, γ = 90.00°
Element x y z (fractional)
Be1 0.230 0.250 0.125
Be2 0.250 0.730 0.375
Be3 0.250 0.770 0.875
Be4 0.270 0.250 0.625
Be5 0.730 0.750 0.625
Be6 0.750 0.230 0.875
Be7 0.750 0.270 0.375
Be8 0.770 0.750 0.125
Ge1 0.000 0.000 0.000
Ge2 0.000 0.500 0.250
Ge3 0.500 0.000 0.750
Ge4 0.500 0.500 0.500
Br1 0.000 0.000 0.500
Br2 0.000 0.500 0.750
Br3 0.500 0.000 0.250
Br4 0.500 0.500 0.000

***

Entry 4:
First-principles (PBE) data for an optimized crystal structure of Li2Cd2Hg3, as listed in Alexandria.

Calculated values
- SG = C2/m (12)
- crystal system = monoclinic
- formation energy from the elements (eV/atom) = -0.173

a = 11.645 Å, b = 3.817 Å, c = 6.946 Å
α = 90.00°, β = 104.26°, γ = 90.00°
Element x y z (fractional)
Li1 0.139 0.000 0.417
Li2 0.361 0.500 0.583
Li3 0.639 0.500 0.417
Li4 0.861 0.000 0.583
Cd1 0.073 0.500 0.706
Cd2 0.427 0.000 0.294
Cd3 0.573 0.000 0.706
Cd4 0.927 0.500 0.294
Hg1 0.000 0.000 0.000
Hg2 0.218 0.500 0.179
Hg3 0.282 0.000 0.821
Hg4 0.500 0.500 0.000
Hg5 0.718 0.000 0.179
Hg6 0.782 0.500 0.821

***

Entry 5:
First-principles (PBE) data for an optimized crystal structure of BeZnPd4, as listed in Alexandria.

Calculated values
- SG = C2/m (12)
- polymorph energy (0 for the lowest one) (kJ per mole of atoms) = 18.51
- crystal system = monoclinic
- formation energy from the elements (eV/atom) = -0.253

a = 7.059 Å, b = 4.035 Å, c = 6.867 Å
α = 90.00°, β = 109.77°, γ = 90.00°
Element x y z (fractional)
Be1 0.000 0.000 0.000
Be2 0.500 0.500 0.000
Zn1 0.000 0.500 0.500
Zn2 0.500 0.000 0.500
Pd1 0.119 0.000 0.353
Pd2 0.131 0.500 0.894
Pd3 0.369 0.000 0.106
Pd4 0.381 0.500 0.647
Pd5 0.619 0.500 0.353
Pd6 0.631 0.000 0.894
Pd7 0.869 0.500 0.106
Pd8 0.881 0.000 0.647

***

Entry 6:
First-principles (PBE) data for an optimized crystal structure of MgMn2Si, as listed in Alexandria.

Calculated values
- SG = Cmmm (65)
- E_form (uncorrected) (eV/atom) = 0.051
- crystal system = orthorhombic

a = 5.532 Å, b = 6.929 Å, c = 2.776 Å
α = 90.00°, β = 90.00°, γ = 90.00°
Element x y z (fractional)
Mg1 0.000 0.000 0.000
Mg2 0.500 0.500 0.000
Mn1 0.250 0.250 0.500
Mn2 0.250 0.750 0.500
Mn3 0.750 0.250 0.500
Mn4 0.750 0.750 0.500
Si1 0.000 0.500 0.000
Si2 0.500 0.000 0.000

***

Entry 7:
First-principles (PBE) data for an optimized crystal structure of BeRhCl2, as listed in Alexandria.

Calculated values
- SG = Cmmm (65)
- polymorph energy (0 for the lowest one) (kJ per mole of atoms) = 43.80
- E_form (uncorrected) (eV/atom) = 0.071
- crystal system = orthorhombic

a = 2.967 Å, b = 5.917 Å, c = 7.543 Å
α = 90.00°, β = 90.00°, γ = 90.00°
Element x y z (fractional)
Be1 0.000 0.000 0.000
Be2 0.500 0.500 0.000
Rh1 0.000 0.000 0.500
Rh2 0.500 0.500 0.500
Cl1 0.000 0.500 0.197
Cl2 0.000 0.500 0.803
Cl3 0.500 0.000 0.197
Cl4 0.500 0.000 0.803

***

Entry 8:
First-principles (PBE) data for an optimized crystal structure of MgPaSi2Pt5, as listed in Alexandria.

Calculated values
- SG = P4/mmm (123)
- E_form (uncorrected) (eV/atom) = -0.811
- crystal system = tetragonal

a = 4.254 Å, b = 4.254 Å, c = 8.705 Å
α = 90.00°, β = 90.00°, γ = 90.00°
Element x y z (fractional)
Mg1 0.000 0.000 0.000
Pa1 0.000 0.000 0.500
Si1 0.500 0.500 0.131
Si2 0.500 0.500 0.869
Pt1 0.000 0.500 0.262
Pt2 0.000 0.500 0.738
Pt3 0.500 0.000 0.262
Pt4 0.500 0.000 0.738
Pt5 0.500 0.500 0.500

***

Entry 9:
First-principles (PBE) data for an optimized crystal structure of Cu3H10C8O14, as listed in Alexandria.

Calculated values
- final energy (eV per atom) = -6.127
- SG = P2_1/c (14)
- crystal system = monoclinic

a = 5.782 Å, b = 12.981 Å, c = 9.518 Å
α = 90.00°, β = 97.70°, γ = 90.00°
Element x y z (fractional)
Cu1 0.000 0.000 0.000
Cu2 0.000 0.500 0.500
Cu3 0.486 0.113 0.965
Cu4 0.486 0.387 0.465
Cu5 0.514 0.613 0.535
Cu6 0.514 0.887 0.035
H1 0.055 0.576 0.122
H2 0.055 0.924 0.622
H3 0.256 0.507 0.077
H4 0.256 0.993 0.577
H5 0.272 0.531 0.314
H6 0.272 0.969 0.814
H7 0.288 0.026 0.345
H8 0.288 0.474 0.845
H9 0.375 0.129 0.424
H10 0.375 0.371 0.924
H11 0.625 0.629 0.076
H12 0.625 0.871 0.576
H13 0.712 0.526 0.155
H14 0.712 0.974 0.655
H15 0.728 0.031 0.186
H16 0.728 0.469 0.686
H17 0.744 0.007 0.423
H18 0.744 0.493 0.923
H19 0.945 0.076 0.378
H20 0.945 0.424 0.878
C1 0.041 0.208 0.142
C2 0.041 0.292 0.642
C3 0.099 0.662 0.771
C4 0.099 0.838 0.271
C5 0.133 0.214 0.745
C6 0.133 0.286 0.245
C7 0.190 0.743 0.875
C8 0.190 0.757 0.375
C9 0.810 0.243 0.625
C10 0.810 0.257 0.125
C11 0.867 0.714 0.755
C12 0.867 0.786 0.255
C13 0.901 0.162 0.729
C14 0.901 0.338 0.229
C15 0.959 0.708 0.358
C16 0.959 0.792 0.858
O1 0.134 0.129 0.094
O2 0.134 0.371 0.594
O3 0.186 0.585 0.718
O4 0.186 0.915 0.218
O5 0.223 0.559 0.148
O6 0.223 0.941 0.648
O7 0.264 0.072 0.425
O8 0.264 0.428 0.925
O9 0.300 0.515 0.420
O10 0.300 0.985 0.920
O11 0.331 0.204 0.815
O12 0.331 0.296 0.315
O13 0.387 0.741 0.445
O14 0.387 0.759 0.945
O15 0.613 0.241 0.055
O16 0.613 0.259 0.555
O17 0.669 0.704 0.685
O18 0.669 0.796 0.185
O19 0.700 0.015 0.080
O20 0.700 0.485 0.580
O21 0.736 0.572 0.075
O22 0.736 0.928 0.575
O23 0.777 0.059 0.352
O24 0.777 0.441 0.852
O25 0.814 0.085 0.782
O26 0.814 0.415 0.282
O27 0.866 0.629 0.406
O28 0.866 0.871 0.906

***

Entry 10:
First-principles (PBE) data for an optimized crystal structure of Pm3TeC, as listed in Alexandria.

Calculated values
- SG = Pnma (62)
- polymorph energy (0 for the lowest one) (kJ per mole of atoms) = 0.00
- E_form (uncorrected) (eV/atom) = -0.693
- crystal system = orthorhombic

a = 8.764 Å, b = 3.973 Å, c = 14.658 Å
α = 90.00°, β = 90.00°, γ = 90.00°
Element x y z (fractional)
Pm1 0.023 0.250 0.100
Pm2 0.180 0.250 0.504
Pm3 0.213 0.750 0.298
Pm4 0.287 0.250 0.798
Pm5 0.320 0.750 0.004
Pm6 0.477 0.750 0.600
Pm7 0.523 0.250 0.400
Pm8 0.680 0.250 0.996
Pm9 0.713 0.750 0.202
Pm10 0.787 0.250 0.702
Pm11 0.820 0.750 0.496
Pm12 0.977 0.750 0.900
Te1 0.077 0.750 0.674
Te2 0.423 0.250 0.174
Te3 0.577 0.750 0.826
Te4 0.923 0.250 0.326
C1 0.160 0.250 0.945
C2 0.340 0.750 0.445
C3 0.660 0.250 0.555
C4 0.840 0.750 0.055

***

Entry 11:
First-principles (PBE) data for an optimized crystal structure of LaY2TlOs, as listed in Alexandria.

Calculated values
- SG = P4/mmm (123)
- crystal system = tetragonal
- formation energy from the elements (eV/atom) = -0.108

a = 5.428 Å, b = 5.428 Å, c = 5.497 Å
α = 90.00°, β = 90.00°, γ = 90.00°
Element x y z (fractional)
La1 0.000 0.000 0.000
Y1 0.000 0.500 0.500
Y2 0.500 0.000 0.500
Tl1 0.500 0.500 0.000
Os1 0.000 0.000 0.500

***

Entry 12:
First-principles (PBE) data for an optimized crystal structure of Tb2Er5Al4, as listed in Alexandria.

Calculated values
- SG = Immm (71)
- crystal system = orthorhombic
- formation energy from the elements (eV/atom) = 0.063

a = 10.449 Å, b = 10.449 Å, c = 10.449 Å
α = 161.69°, β = 123.87°, γ = 59.56°
Element x y z (fractional)
Tb1 0.170 0.170 0.000
Tb2 0.830 0.830 0.000
Er1 0.000 0.500 0.500
Er2 0.155 0.819 0.336
Er3 0.484 0.819 0.664
Er4 0.516 0.181 0.336
Er5 0.845 0.181 0.664
Al1 0.290 0.000 0.290
Al2 0.430 0.430 0.000
Al3 0.570 0.570 0.000
Al4 0.710 0.000 0.710

***

Copy entry 4 word for word.
First-principles (PBE) data for an optimized crystal structure of Li2Cd2Hg3, as listed in Alexandria.

Calculated values
- SG = C2/m (12)
- crystal system = monoclinic
- formation energy from the elements (eV/atom) = -0.173

a = 11.645 Å, b = 3.817 Å, c = 6.946 Å
α = 90.00°, β = 104.26°, γ = 90.00°
Element x y z (fractional)
Li1 0.139 0.000 0.417
Li2 0.361 0.500 0.583
Li3 0.639 0.500 0.417
Li4 0.861 0.000 0.583
Cd1 0.073 0.500 0.706
Cd2 0.427 0.000 0.294
Cd3 0.573 0.000 0.706
Cd4 0.927 0.500 0.294
Hg1 0.000 0.000 0.000
Hg2 0.218 0.500 0.179
Hg3 0.282 0.000 0.821
Hg4 0.500 0.500 0.000
Hg5 0.718 0.000 0.179
Hg6 0.782 0.500 0.821